Record 1
# PBE-GGA BaZr2Hg, optimized geometry
# formation energy = 1.242 eV/f.u.
# calculated density = 7.70 Mg/m³
# VASP energy = -4.520 eV per atom
data_BaZr2Hg
_chemical_formula_sum 'Ba1 Zr2 Hg1'
_cell_length_a 3.3942
_cell_length_b 5.5618
_cell_length_c 5.9984
_cell_angle_alpha 90.00
_cell_angle_beta 97.43
_cell_angle_gamma 90.00
_space_group_name_H-M_alt 'P 1 2/m 1'
_space_group_IT_number 10
loop_
_space_group_symop_operation_xyz
'x,y,z'
'-x,-y,-z'
'-x,y,-z'
'x,-y,z'
loop_
_atom_site_label
_atom_site_type_symbol
_atom_site_fract_x
_atom_site_fract_y
_atom_site_fract_z
Ba1 Ba 0.0000 0.0000 0.0000
Zr1 Zr 0.3240 0.5000 0.7104
Hg1 Hg 0.5000 0.0000 0.5000

---

Record 2
# PBE-GGA BaZr2Hg, optimized geometry
# formation energy = 1.506 eV/f.u.
# calculated density = 7.95 Mg/m³
# VASP energy = -4.454 eV per atom
data_BaZr2Hg
_chemical_formula_sum 'Ba2 Zr4 Hg2'
_cell_length_a 3.4537
_cell_length_b 5.6321
_cell_length_c 11.1745
_cell_angle_alpha 90.00
_cell_angle_beta 90.00
_cell_angle_gamma 90.00
_space_group_name_H-M_alt 'I m m 2'
_space_group_IT_number 44
loop_
_space_group_symop_operation_xyz
'x,y,z'
'-x,-y,z'
'-x,y,z'
'x,-y,z'
'x+1/2,y+1/2,z+1/2'
'-x+1/2,-y+1/2,z+1/2'
'-x+1/2,y+1/2,z+1/2'
'x+1/2,-y+1/2,z+1/2'
loop_
_atom_site_label
_atom_site_type_symbol
_atom_site_fract_x
_atom_site_fract_y
_atom_site_fract_z
Ba1 Ba 0.0000 0.0000 0.0000
Zr1 Zr 0.0000 0.0000 0.4891
Zr2 Zr 0.0000 0.5000 0.2201
Hg1 Hg 0.0000 0.5000 0.7667

---

Record 3
# PBE-GGA BaHo4, optimized geometry
# formation energy = 4.818 eV/f.u.
# calculated density = 7.25 Mg/m³
# VASP energy = -3.083 eV per atom
data_BaHo4
_chemical_formula_sum 'Ba1 Ho4'
_cell_length_a 5.6729
_cell_length_b 5.6729
_cell_length_c 5.6729
_cell_angle_alpha 90.00
_cell_angle_beta 90.00
_cell_angle_gamma 90.00
_space_group_name_H-M_alt 'P m -3 m'
_space_group_IT_number 221
_space_group_name_Hall '-P 4 2 3'
loop_
_atom_site_label
_atom_site_type_symbol
_atom_site_fract_x
_atom_site_fract_y
_atom_site_fract_z
Ba1 Ba 0.0000 0.0000 0.0000
Ho1 Ho 0.0000 0.0000 0.5000
Ho2 Ho 0.5000 0.5000 0.5000

---

Record 4
# PBE-GGA Ba6Ho, optimized geometry
# formation energy = 7.614 eV/f.u.
# calculated density = 4.13 Mg/m³
# VASP energy = -1.214 eV per atom
data_Ba6Ho
_chemical_formula_sum 'Ba12 Ho2'
_cell_length_a 9.2630
_cell_length_b 9.2630
_cell_length_c 9.2630
_cell_angle_alpha 90.00
_cell_angle_beta 90.00
_cell_angle_gamma 90.00
_space_group_name_H-M_alt 'I m -3 m'
_space_group_IT_number 229
_space_group_name_Hall '-I 4 2 3'
loop_
_atom_site_label
_atom_site_type_symbol
_atom_site_fract_x
_atom_site_fract_y
_atom_site_fract_z
Ba1 Ba 0.0000 0.2500 0.5000
Ho1 Ho 0.0000 0.0000 0.0000

---

- calculated density of number 3 (BaHo4)?
  7.25 Mg/m³

---

- calculated density of number 4 (Ba6Ho)?
  4.13 Mg/m³

---

- Which value of VASP energy does entry 3 give?
  -3.083 eV per atom